Compound: CdPt2WO
Source: the Alexandria database
Functional: PBE+U
Structure: optimized geometry

Values from the calculation:
DOS(E_F), states/eV/atom: 1.5846
Volume, Å³/f.u.: 135.0
Total magnetization, μB per atom: 0.50
Total energy, eV per atom: -3.283

a b c (Å): 4.8804 4.8804 5.6670
angles (deg): 90.00 90.00 90.00
Last column: nearest neighbours and their distance in Å.
Fractional positions:
Pt: 0.5000 0.0000 0.0000  2 W 2.44
W: 0.0000 0.0000 0.0000  4 Pt 2.44
O: 0.5000 0.5000 0.5000  4 Cd 3.45, 8 Pt 3.74
Cd: 0.0000 0.0000 0.5000  2 W 2.83
Pt: 0.0000 0.5000 0.0000  2 W 2.44